{"formula": "Pa2In3Bi3", "functional": "PBE", "state": "relaxed", "lattice_angstrom": [[-3.889, 0.705, 3.101], [-3.024, -0.841, -3.601], [0.026, -8.736, 2.017]], "species": ["Pa", "Pa", "In", "In", "In", "Bi", "Bi", "Bi"], "frac_coords": [[0.000, 0.000, 0.748], [0.000, 0.000, 0.252], [0.500, 0.500, 0.758], [0.500, 0.500, 0.242], [0.500, 0.000, 0.000], [0.500, 0.000, 0.500], [0.000, 0.500, 0.000], [0.000, 0.500, 0.500]], "space_group": "No. 47", "final_energy_ev_per_atom": -5.00, "crystal_system": "orthorhombic"}

{"formula": "OsPb", "functional": "PBE", "state": "relaxed", "lattice_angstrom": [[-1.631, 5.754, 1.993], [-3.324, 0.888, -5.282], [-4.227, -2.003, 2.323]], "species": ["Os", "Os", "Os", "Os", "Pb", "Pb", "Pb", "Pb"], "frac_coords": [[0.371, 0.629, 0.000], [0.871, 0.871, 0.500], [0.129, 0.129, 0.500], [0.629, 0.371, 0.000], [0.206, 0.206, 0.000], [0.706, 0.294, 0.500], [0.294, 0.706, 0.500], [0.794, 0.794, 0.000]], "space_group": "No. 136", "final_energy_ev_per_atom": -6.20, "crystal_system": "tetragonal"}

{"formula": "CeCrC", "functional": "PBE", "state": "relaxed", "lattice_angstrom": [[-2.135, 2.205, 0.044], [-0.424, -2.513, -1.711], [-5.011, -5.022, 8.616]], "species": ["C", "C", "Ce", "Ce", "Cr", "Cr"], "frac_coords": [[0.000, 0.000, 0.675], [0.000, 0.000, 0.325], [0.333, 0.667, 0.829], [0.667, 0.333, 0.171], [0.667, 0.333, 0.597], [0.333, 0.667, 0.403]], "space_group": "No. 164", "relative_energy_mev_per_atom": 0, "crystal_system": "trigonal"}

{"formula": "Ac2PmDyBi4", "functional": "PBE", "state": "relaxed", "lattice_angstrom": [[4.709, 0.000, 0.000], [0.000, 8.146, -0.160], [0.000, 2.868, 7.630]], "species": ["Ac", "Ac", "Pm", "Dy", "Bi", "Bi", "Bi", "Bi"], "frac_coords": [[0.000, 0.000, 0.000], [0.500, 0.000, 0.500], [0.500, 0.500, 0.000], [0.000, 0.500, 0.500], [0.000, 0.731, 0.753], [0.000, 0.269, 0.247], [0.500, 0.729, 0.260], [0.500, 0.271, 0.740]], "space_group": "No. 10", "final_energy_ev_per_atom": -5.07, "crystal_system": "monoclinic"}

{"formula": "Ba2NpO6", "functional": "PBE", "state": "relaxed", "lattice_angstrom": [[-3.265, -1.373, 4.885], [0.800, -4.108, -4.346], [7.904, -3.121, 4.406]], "species": ["Ba", "Ba", "Ba", "Ba", "Np", "Np", "O", "O", "O", "O", "O", "O", "O", "O", "O", "O", "O", "O"], "frac_coords": [[0.000, 0.000, 0.599], [0.000, 0.000, 0.099], [0.333, 0.667, 0.867], [0.667, 0.333, 0.367], [0.333, 0.667, 0.261], [0.667, 0.333, 0.761], [0.487, 0.975, 0.139], [0.513, 0.487, 0.639], [0.975, 0.487, 0.639], [0.025, 0.513, 0.139], [0.487, 0.513, 0.139], [0.513, 0.025, 0.639], [0.831, 0.662, 0.869], [0.169, 0.831, 0.369], [0.662, 0.831, 0.369], [0.338, 0.169, 0.869], [0.831, 0.169, 0.869], [0.169, 0.338, 0.369]], "space_group": "No. 186", "relative_energy_mev_per_atom": 0, "raw_formation_energy_ev_per_atom": -2.544, "crystal_system": "hexagonal"}

{"formula": "Dy8SnIr2", "functional": "PBE", "state": "relaxed", "lattice_angstrom": [[5.403, 0.158, -0.839], [-1.735, 7.112, -2.992], [0.169, -0.077, 7.906]], "species": ["Dy", "Dy", "Dy", "Dy", "Dy", "Dy", "Dy", "Dy", "Sn", "Ir", "Ir"], "frac_coords": [[0.577, 0.333, 0.075], [0.577, 0.075, 0.333], [0.200, 0.392, 0.392], [0.000, 0.250, 0.756], [0.000, 0.756, 0.250], [0.800, 0.615, 0.615], [0.423, 0.932, 0.673], [0.423, 0.673, 0.932], [0.000, 0.003, 0.003], [0.500, 0.694, 0.312], [0.500, 0.312, 0.694]], "space_group": "No. 12", "final_energy_ev_per_atom": -5.80, "crystal_system": "monoclinic"}

{"formula": "HfBe4Cr", "functional": "PBE", "state": "relaxed", "lattice_angstrom": [[4.528, 0.000, 0.000], [2.264, 3.922, 0.000], [2.264, 1.307, 3.697]], "species": ["Cr", "Hf", "Be", "Be", "Be", "Be"], "frac_coords": [[0.250, 0.250, 0.250], [0.000, 0.000, 0.000], [0.624, 0.624, 0.129], [0.624, 0.129, 0.624], [0.624, 0.624, 0.624], [0.129, 0.624, 0.624]], "space_group": "No. 216", "final_energy_ev_per_atom": -5.90, "crystal_system": "cubic"}

{"formula": "ZrOs2Rh", "functional": "PBE", "state": "relaxed", "lattice_angstrom": [[-1.774, 4.492, -0.388], [-0.798, 0.909, -4.692], [-1.357, -3.714, 2.800]], "species": ["Os", "Os", "Rh", "Zr"], "frac_coords": [[0.001, 0.001, 0.000], [0.249, 0.749, 0.500], [0.500, 0.500, 0.000], [0.750, 0.250, 0.500]], "space_group": "No. 44", "relative_energy_mev_per_atom": 65, "crystal_system": "orthorhombic"}